Entry from Alexandria via LeMat-Bulk: a relaxed structure of La2Tb3Pr6Er (PBE).

POSCAR file:
```
La2Tb3Pr6Er
1.0
-3.295 -3.283 4.341
6.234 -1.046 -0.723
1.368 9.839 6.920
Pr La Tb Er
6 2 3 1
direct
0.416 0.084 0.254
0.248 0.248 0.746
0.752 0.752 0.254
0.084 0.416 0.254
0.584 0.916 0.746
0.916 0.584 0.746
0.333 0.667 0.000
0.667 0.333 0.000
0.166 0.834 0.500
0.834 0.166 0.500
0.500 0.500 0.500
0.000 0.000 0.000
```

Values from the calculation:
energy relative to the elements	0.0165	eV per atom

***

Entry from Alexandria via LeMat-Bulk: a relaxed structure of MgCd2P (PBE).

POSCAR file:
```
MgCd2P
1.0
6.911 -0.037 -0.023
5.738 3.853 -0.023
5.738 1.731 3.442
P Mg Cd
1 1 2
direct
0.757 0.757 0.757
0.476 0.476 0.476
0.017 0.017 0.017
0.251 0.251 0.251
```

Values from the calculation:
energy relative to the elements	-0.0719	eV per atom